A | VASP calculation (PBE-GGA) on ScPaNb2 after structural relaxation. Values from VASP.

Properties
DOS(E_F)	5.47	states/eV/cell

The structure in Quantum ESPRESSO input format:
```
&SYSTEM
  ibrav = 0, nat = 4, ntyp = 3
/
ATOMIC_SPECIES
Sc 44.96 Sc.upf
Pa 231.04 Pa.upf
Nb 92.91 Nb.upf
ATOMIC_POSITIONS angstrom
Sc 0.000 0.000 0.000
Pa 0.000 0.000 3.458
Nb 1.755 1.755 1.940
Nb 1.755 1.755 4.977
CELL_PARAMETERS angstrom
3.511 0.000 0.000
0.000 3.511 0.000
0.000 0.000 6.917
```

---

B | VASP calculation (PBE-GGA) on ScPaNb2 after structural relaxation. Values from VASP.

Properties
DOS(E_F)	21.17	states/eV/cell

The structure in Quantum ESPRESSO input format:
```
&SYSTEM
  ibrav = 0, nat = 16, ntyp = 3
/
ATOMIC_SPECIES
Sc 44.96 Sc.upf
Pa 231.04 Pa.upf
Nb 92.91 Nb.upf
ATOMIC_POSITIONS angstrom
Sc 0.000 0.000 0.000
Sc 0.000 3.458 3.458
Sc 3.458 0.000 3.458
Sc 3.458 3.458 0.000
Pa 0.000 0.000 3.458
Pa 0.000 3.458 0.000
Pa 3.458 0.000 0.000
Pa 3.458 3.458 3.458
Nb 1.729 1.729 1.729
Nb 1.729 1.729 5.186
Nb 1.729 5.186 1.729
Nb 1.729 5.186 5.186
Nb 5.186 1.729 1.729
Nb 5.186 1.729 5.186
Nb 5.186 5.186 1.729
Nb 5.186 5.186 5.186
CELL_PARAMETERS angstrom
6.915 0.000 0.000
0.000 6.915 0.000
0.000 0.000 6.915
```

---

C | VASP calculation (PBE-GGA) on ScPaNb2 after structural relaxation. Values from VASP.

Properties
DOS(E_F)	7.23	states/eV/cell

The structure in Quantum ESPRESSO input format:
```
&SYSTEM
  ibrav = 0, nat = 4, ntyp = 3
/
ATOMIC_SPECIES
Sc 44.96 Sc.upf
Pa 231.04 Pa.upf
Nb 92.91 Nb.upf
ATOMIC_POSITIONS angstrom
Sc 0.000 0.000 0.000
Pa 2.422 2.422 0.000
Nb 0.000 2.422 1.772
Nb 2.422 0.000 1.772
CELL_PARAMETERS angstrom
4.844 0.000 0.000
0.000 4.844 0.000
0.000 0.000 3.543
```

---

It is B that is most stable; the runner-up trails by 20 meV per atom.

---

A | VASP calculation (PBE-GGA) on PaNbSe2 after structural relaxation. Values from VASP.

Properties
DOS(E_F)	10.88	states/eV/cell

The structure in Quantum ESPRESSO input format:
```
&SYSTEM
  ibrav = 0, nat = 8, ntyp = 3
/
ATOMIC_SPECIES
Pa 231.04 Pa.upf
Nb 92.91 Nb.upf
Se 78.96 Se.upf
ATOMIC_POSITIONS angstrom
Pa 0.000 0.000 0.000
Pa 1.753 1.753 7.065
Nb 0.000 1.753 10.598
Nb 1.753 0.000 3.533
Se 0.000 0.000 5.420
Se 0.000 0.000 8.711
Se 1.753 1.753 1.646
Se 1.753 1.753 12.485
CELL_PARAMETERS angstrom
3.506 0.000 0.000
0.000 3.506 0.000
0.000 0.000 14.131
```

---

B | VASP calculation (PBE-GGA) on PaNbSe2 after structural relaxation. Values from VASP.

Properties
DOS(E_F)	18.41	states/eV/cell

The structure in Quantum ESPRESSO input format:
```
&SYSTEM
  ibrav = 0, nat = 12, ntyp = 3
/
ATOMIC_SPECIES
Pa 231.04 Pa.upf
Nb 92.91 Nb.upf
Se 78.96 Se.upf
ATOMIC_POSITIONS angstrom
Pa 0.000 0.000 0.000
Pa 0.000 1.977 18.523
Pa 1.712 0.988 9.261
Nb 0.000 0.000 13.892
Nb 0.000 1.977 4.631
Nb 1.712 0.988 23.153
Se 0.000 0.000 11.361
Se 0.000 0.000 16.423
Se 0.000 1.977 2.099
Se 0.000 1.977 7.162
Se 1.712 0.988 20.622
Se 1.712 0.988 25.685
CELL_PARAMETERS angstrom
3.424 0.000 0.000
-1.712 2.965 0.000
0.000 0.000 27.784
```

---

It is A that is most stable; the runner-up trails by 389 meV per atom.